The following is a PBE calculation of Ac2NbGe after structural relaxation, from Alexandria.

Properties
Mass density in g cm⁻³: 8.5
Magnetization in μB/cell: 1.07
DFT formation energy in meV per atom: 680

POSCAR file:
```
Ac2NbGe
1.0
3.5070 0.0000 0.0000
1.7535 3.0372 0.0000
1.7535 1.0124 11.3282
Ac Ge Nb
2 1 1
direct
0.9086 0.9086 0.2741
0.0914 0.0914 0.7259
0.5000 0.5000 0.5000
0.0000 0.0000 0.0000
```

=====

The following is a PBE calculation of Ac4NbGe5 after structural relaxation, from Alexandria.

Properties
Mass density in g cm⁻³: 7.5
Magnetization in μB/cell: 0.00
DFT formation energy in meV per atom: -425

POSCAR file:
```
Ac4NbGe5
1.0
-2.1532 -3.1142 5.1125
-4.7721 -5.7086 -1.5290
4.2595 -5.9096 2.1524
Ac Nb Ge
4 1 5
direct
0.5943 0.6107 0.2135
0.4184 0.3893 0.7865
0.8077 0.7865 0.6107
0.2049 0.2135 0.3893
0.0293 0.0000 0.0000
0.0953 0.6483 0.1700
0.4378 0.0000 0.0000
0.9137 0.3517 0.8300
0.2653 0.8300 0.6483
0.7437 0.1700 0.3517
```

=====

The following is a PBE calculation of AcNbGeO6 after structural relaxation, from Alexandria.

Properties
E_form (uncorrected) in eV/atom: -2.34
Mass density in g cm⁻³: 6.7
Magnetization in μB/cell: 0.00

POSCAR file:
```
AcNbGeO6
1.0
-2.0603 -3.2101 3.2149
4.5399 -1.3212 1.5901
-0.3371 7.0311 6.8046
O Ge Ac Nb
12 2 2 2
direct
0.8366 0.1634 0.1592
0.7170 0.7170 0.3689
0.1634 0.8366 0.1592
0.2245 0.7755 0.4645
0.2830 0.2830 0.3689
0.7245 0.7245 0.9645
0.7755 0.2245 0.4645
0.7830 0.2170 0.8689
0.2170 0.7830 0.8689
0.3366 0.3366 0.6592
0.6634 0.6634 0.6592
0.2755 0.2755 0.9645
0.5000 0.5000 0.5022
0.0000 0.0000 0.0022
0.5000 0.5000 0.1745
0.0000 0.0000 0.6745
0.5000 0.5000 0.8380
0.0000 0.0000 0.3380
```

=====

The following is a PBE calculation of AcNbGe2O8 after structural relaxation, from Alexandria.

Properties
E_form (uncorrected) in eV/atom: -2.17
Mass density in g cm⁻³: 6.2
Magnetization in μB/cell: 0.00

POSCAR file:
```
AcNbGe2O8
1.0
4.9052 0.0000 0.0000
2.4526 4.2480 0.0000
2.4526 1.4160 7.6487
O Ge Nb Ac
8 2 1 1
direct
0.6801 0.6801 0.9596
0.1318 0.7640 0.6696
0.3199 0.3199 0.0404
0.7640 0.4346 0.6696
0.8682 0.5654 0.3304
0.5654 0.2360 0.3304
0.2360 0.8682 0.3304
0.4346 0.1318 0.6696
0.7561 0.7561 0.7318
0.2439 0.2439 0.2682
0.5000 0.5000 0.5000
0.0000 0.0000 0.0000
```

=====

The following is a PBE calculation of AcNbGe2Os after structural relaxation, from Alexandria.

Properties
Mass density in g cm⁻³: 10.4
Magnetization in μB/cell: 0.00
DFT formation energy in meV per atom: -401

POSCAR file:
```
AcNbGe2Os
1.0
4.2151 0.0000 0.0000
0.0000 4.2151 0.0000
-2.1076 -2.1076 5.8946
Nb Ge Ac Os
1 2 1 1
direct
0.7500 0.2500 0.5000
0.6200 0.6200 0.2401
0.3800 0.3800 0.7599
0.0000 0.0000 0.0000
0.2500 0.7500 0.5000
```

=====

The following is a PBE calculation of Ac2NbGe4Pt3 after structural relaxation, from Alexandria.

Properties
Mass density in g cm⁻³: 11.2
Magnetization in μB/cell: 0.00
DFT formation energy in meV per atom: -843

POSCAR file:
```
Ac2NbGe4Pt3
1.0
-1.9038 -3.2996 -2.2069
3.1899 0.1852 -3.0286
5.8221 -7.1673 5.6939
Ge Pt Ac Nb
4 3 2 1
direct
0.0000 0.5000 0.3640
0.0000 0.0000 0.0000
0.5000 0.0000 0.6360
0.5000 0.5000 0.0000
0.0000 0.0000 0.5000
0.0000 0.5000 0.1238
0.5000 0.0000 0.8762
0.5000 0.0000 0.2390
0.0000 0.5000 0.7610
0.5000 0.5000 0.5000
```

=====

> mass density of number 3 (AcNbGeO6)?

6.7 g cm⁻³

=====

> Among the records above, which one has the lowest mass density?

AcNbGe2O8